1.
VASP calculation (PBE) on TmPaGa after structural relaxation.

a b c (Å): 5.0400 5.0400 3.2581
angles (deg): 90.00 90.00 120.00
With the nearest neighbours (Å) after each atom.
Element x y z (fractional)
Tm  0.0000  0.0000  0.0000  3 Ga 2.99, 2 Tm 3.26, 3 Pa 3.28
Pa  0.3333  0.6667  0.5347  3 Ga 3.10, 2 Pa 3.26, 6 Tm 3.28-3.39
Ga  0.6667  0.3333  0.2081  3 Tm 2.99, 3 Pa 3.10, 2 Ga 3.26

## Properties
DFT total energy   -16.9 eV per cell
Space-group type   P3m1 (156)
Mass density   10.88 Mg/m³
Spin magnetization   0.04 Bohr magnetons per cell
Energy of formation   0.030 eV/atom



2.
VASP calculation (PBE) on Ca2YSe after structural relaxation.

a b c (Å): 3.6376 3.6376 9.4835
angles (deg): 90.00 90.00 90.00
With the nearest neighbours (Å) after each atom.
Element x y z (fractional)
Ca  0.0000  0.0000  0.0000  8 Ca 3.64-4.01, 4 Y 3.85
Ca  0.5000  0.5000  0.3245  4 Se 3.19, 1 Y 3.54
Y  0.5000  0.5000  0.6973  4 Se 3.06
Se  0.0000  0.0000  0.5233  4 Y 3.06, 4 Ca 3.19

## Properties
DFT total energy   -16.9 eV per cell
Energy relative to the elements, uncorrected   -2.91 eV per formula unit
Space-group type   P4mm (99)
Mass density   3.28 Mg/m³
Spin magnetization   0.24 Bohr magnetons per cell



3.
VASP calculation (PBE) on Zr2Al2Cu after structural relaxation.

a b c (Å): 4.5044 4.5044 5.9354
angles (deg): 90.00 90.00 120.00
With the nearest neighbours (Å) after each atom.
Element x y z (fractional)
Zr  0.3333  0.6667  0.1539  3 Cu 2.76, 4 Al 2.82-2.90
Zr  0.6667  0.3333  0.8461  3 Cu 2.76, 4 Al 2.82-2.90
Al  0.3333  0.6667  0.6287  5 Zr 2.82-3.12, 3 Al 3.02
Al  0.6667  0.3333  0.3713  5 Zr 2.82-3.12, 3 Al 3.02
Cu  0.0000  0.0000  0.0000  6 Zr 2.76

## Properties
DFT total energy   -28.3 eV per cell
Space-group type   P-3m1 (164)
Mass density   4.78 Mg/m³
Spin magnetization   0.00 Bohr magnetons per cell
Energy of formation   0.074 eV/atom



4.
VASP calculation (PBE) on HgSb2W after structural relaxation.

a b c (Å): 4.2546 4.2546 9.8331
angles (deg): 90.00 90.00 90.00
With the nearest neighbours (Å) after each atom.
Element x y z (fractional)
Hg  0.0000  0.0000  0.0000  8 Sb 3.01-3.25, 4 W 3.25
Hg  0.5000  0.5000  0.5000  8 Sb 3.01-3.25, 4 W 3.25
Sb  0.0000  0.0000  0.5000  4 Hg 3.01, 4 W 3.25, 4 Sb 3.25
Sb  0.0000  0.5000  0.7500  4 W 3.01, 4 Sb 3.25, 4 Hg 3.25
Sb  0.5000  0.0000  0.2500  4 W 3.01, 4 Hg 3.25, 4 Sb 3.25
Sb  0.5000  0.5000  0.0000  4 Hg 3.01, 4 W 3.25, 4 Sb 3.25
W  0.0000  0.5000  0.2500  8 Sb 3.01-3.25, 4 Hg 3.25
W  0.5000  0.0000  0.7500  8 Sb 3.01-3.25, 4 Hg 3.25

## Properties
DFT total energy   -35.8 eV per cell
Energy relative to the elements, uncorrected   3.62 eV per formula unit
Space-group type   I-4m2 (119)
Mass density   11.72 Mg/m³
Spin magnetization   2.92 Bohr magnetons per cell



5.
VASP calculation (PBE) on Ga2FeAsC after structural relaxation.

a b c (Å): 4.3759 4.3759 3.7622
angles (deg): 90.00 90.00 90.00
With the nearest neighbours (Å) after each atom.
Element x y z (fractional)
Ga  0.0000  0.5000  0.0000  2 C 2.19
Ga  0.5000  0.0000  0.0000  2 C 2.19
Fe  0.0000  0.0000  0.5000  2 C 1.88
As  0.5000  0.5000  0.5000  8 Ga 2.89, 4 Fe 3.09
C  0.0000  0.0000  0.0000  2 Fe 1.88

## Properties
DFT total energy   -25.4 eV per cell
Space-group type   P4/mmm (123)
Mass density   6.51 Mg/m³
Spin magnetization   0.01 Bohr magnetons per cell
Energy of formation   0.607 eV/atom



6.
VASP calculation (PBE) on AcY6Th2 after structural relaxation.

a b c (Å): 3.6341 3.6341 26.7537
angles (deg): 90.00 90.00 120.00
With the nearest neighbours (Å) after each atom.
Element x y z (fractional)
Ac  0.0000  0.0000  0.0000  6 Ac 3.63, 6 Y 3.77
Y  0.0000  0.0000  0.2226  9 Y 3.52-3.63, 3 Th 3.62
Y  0.0000  0.0000  0.4378  7 Y 3.33-3.63, 3 Th 3.51
Y  0.0000  0.0000  0.5622  7 Y 3.33-3.63, 3 Th 3.51
Y  0.0000  0.0000  0.7774  9 Y 3.52-3.63, 3 Th 3.62
Y  0.3333  0.6667  0.1172  9 Y 3.52-3.63, 3 Ac 3.77
Y  0.3333  0.6667  0.8828  9 Y 3.52-3.63, 3 Ac 3.77
Th  0.3333  0.6667  0.3328  6 Y 3.51-3.62, 6 Th 3.63
Th  0.3333  0.6667  0.6672  6 Y 3.51-3.62, 6 Th 3.63

## Properties
DFT total energy   -56.8 eV per cell
Space-group type   P-6m2 (187)
Mass density   6.65 Mg/m³
Spin magnetization   0.00 Bohr magnetons per cell
Energy of formation   0.099 eV/atom



Please write out number 1 again, unchanged.
VASP calculation (PBE) on TmPaGa after structural relaxation.

a b c (Å): 5.0400 5.0400 3.2581
angles (deg): 90.00 90.00 120.00
With the nearest neighbours (Å) after each atom.
Element x y z (fractional)
Tm  0.0000  0.0000  0.0000  3 Ga 2.99, 2 Tm 3.26, 3 Pa 3.28
Pa  0.3333  0.6667  0.5347  3 Ga 3.10, 2 Pa 3.26, 6 Tm 3.28-3.39
Ga  0.6667  0.3333  0.2081  3 Tm 2.99, 3 Pa 3.10, 2 Ga 3.26

## Properties
DFT total energy   -16.9 eV per cell
Space-group type   P3m1 (156)
Mass density   10.88 Mg/m³
Spin magnetization   0.04 Bohr magnetons per cell
Energy of formation   0.030 eV/atom